# SbTe2W

SbTe2W after structural relaxation (GGA-PBE, the Alexandria database).

DOS at the Fermi energy, states/eV/cell: 3.60
Space-group type: F-43m (216)
Raw formation energy, eV per atom: 0.8807
Spin magnetization, μB/f.u.: 0.00
Calculated total energy, eV per cell: -19.836

Cell lengths 5.0362, 5.0362, 5.0362 Å; angles 60.00, 60.00, 60.00 degrees
Atoms (fractional coordinates):
Te1 0.0000 0.0000 0.0000
Sb1 0.5000 0.5000 0.5000
Te2 0.7500 0.7500 0.7500
W1 0.2500 0.2500 0.2500



# CaTaP

CaTaP after structural relaxation (GGA-PBE, the Alexandria database).

DOS at the Fermi energy, states/eV/cell: 2.47
Space-group type: P3m1 (156)
Spin magnetization, μB/f.u.: 0.31
Calculated total energy, eV per cell: -20.078
Calculated formation energy, eV per atom: -0.27

Cell lengths 3.5075, 3.5075, 6.1206 Å; angles 90.00, 90.00, 120.00 degrees
Last column: magnetic moment on the atom in μB.
Atoms (fractional coordinates):
Ta1 0.3333 0.6667 0.5910  0.10
Ca1 0.0000 0.0000 0.0452  0.04
P1 0.6667 0.3333 0.3639  0.00